VASP calculation (PBE with a Hubbard U) on an optimized crystal structure of LiTiFeF6.

a = 8.9118 Å, b = 8.9118 Å, c = 4.6513 Å
α = 90.00°, β = 90.00°, γ = 120.00°
With the nearest neighbours (Å) after each atom.
Element x y z (fractional)
F 0.8703 0.7649 0.7696  1 Li 2.01, 1 Ti 2.02, 1 Fe 2.11
Li 0.6934 0.0000 0.5000  6 F 2.01-2.17
Li 0.3066 0.3066 0.5000  6 F 2.01-2.17
F 0.7649 0.8703 0.2304  1 Li 2.01, 1 Ti 2.02, 1 Fe 2.11
Fe 0.0000 0.0000 0.0000  6 F 2.11
F 0.8946 0.1297 0.7696  1 Li 2.01, 1 Ti 2.02, 1 Fe 2.11
F 0.7612 0.5610 0.2537  1 Ti 1.95, 1 Fe 2.13, 1 Li 2.17
F 0.4411 0.5422 0.2502  1 Ti 1.98, 1 Fe 2.11, 1 Li 2.16
F 0.4578 0.8989 0.2502  1 Ti 1.98, 1 Fe 2.11, 1 Li 2.16
F 0.1297 0.8946 0.2304  1 Li 2.01, 1 Ti 2.02, 1 Fe 2.11
F 0.2388 0.7998 0.7463  1 Ti 1.95, 1 Fe 2.13, 1 Li 2.17
F 0.5610 0.7612 0.7463  1 Ti 1.95, 1 Fe 2.13, 1 Li 2.17
F 0.2351 0.1054 0.7696  1 Li 2.01, 1 Ti 2.02, 1 Fe 2.11
Fe 0.3333 0.6667 0.4886  6 F 2.11-2.13
Ti 0.3514 0.0000 0.0000  6 F 1.95-2.02
Fe 0.6667 0.3333 0.5114  6 F 2.11-2.13
Ti 0.0000 0.3514 0.0000  6 F 1.95-2.02
Ti 0.6486 0.6486 0.0000  6 F 1.95-2.02
F 0.1011 0.5589 0.2502  1 Ti 1.98, 1 Fe 2.11, 1 Li 2.16
F 0.7998 0.2388 0.2537  1 Ti 1.95, 1 Fe 2.13, 1 Li 2.17
F 0.8989 0.4578 0.7498  1 Ti 1.98, 1 Fe 2.11, 1 Li 2.16
F 0.1054 0.2351 0.2304  1 Li 2.01, 1 Ti 2.02, 1 Fe 2.11
F 0.5589 0.1011 0.7498  1 Ti 1.98, 1 Fe 2.11, 1 Li 2.16
F 0.2002 0.4390 0.7463  1 Ti 1.95, 1 Fe 2.13, 1 Li 2.17
F 0.5422 0.4411 0.7498  1 Ti 1.98, 1 Fe 2.11, 1 Li 2.16
Li 0.0000 0.6934 0.5000  6 F 2.01-2.17
F 0.4390 0.2002 0.2537  1 Ti 1.95, 1 Fe 2.13, 1 Li 2.17

Computed properties:
* D(E_F): 10.8 states/eV/f.u.
* raw total energy: -5.773 eV/atom